No. 1
Tb3Ge6Pd20, relaxed, DFT PBE-GGA; E_form = -19.482 eV per formula unit; symmetry = Fm-3m, No. 225; DOS at the Fermi energy = 0.2266 states/eV per atom; calculated total energy = -5.687 eV/atom
1.0
0.0000 6.2549 6.2549
6.2549 0.0000 6.2549
6.2549 6.2549 0.0000
Tb Ge Pd
3 6 20
Direct
0.0000 0.0000 0.0000 Tb
0.2500 0.2500 0.2500 Tb
0.7500 0.7500 0.7500 Tb
0.2687 0.2687 0.7313 Ge
0.2687 0.7313 0.2687 Ge
0.2687 0.7313 0.7313 Ge
0.7313 0.2687 0.2687 Ge
0.7313 0.2687 0.7313 Ge
0.7313 0.7313 0.2687 Ge
0.0000 0.0000 0.3470 Pd
0.0000 0.0000 0.6530 Pd
0.0000 0.3470 0.0000 Pd
0.0000 0.3470 0.6530 Pd
0.0000 0.6530 0.0000 Pd
0.0000 0.6530 0.3470 Pd
0.1437 0.6188 0.6188 Pd
0.3470 0.0000 0.0000 Pd
0.3470 0.0000 0.6530 Pd
0.3470 0.6530 0.0000 Pd
0.3812 0.3812 0.3812 Pd
0.3812 0.3812 0.8563 Pd
0.3812 0.8563 0.3812 Pd
0.6188 0.1437 0.6188 Pd
0.6188 0.6188 0.1437 Pd
0.6188 0.6188 0.6188 Pd
0.6530 0.0000 0.0000 Pd
0.6530 0.0000 0.3470 Pd
0.6530 0.3470 0.0000 Pd
0.8563 0.3812 0.3812 Pd



No. 2
Mg2Zn5NiRu2, relaxed, DFT PBE-GGA; E_form = -0.656 eV per formula unit; symmetry = P4/mbm, No. 127; DOS at the Fermi energy = 0.3752 states/eV per atom; calculated total energy = -3.455 eV/atom
1.0
9.7113 0.0000 0.0000
0.0000 9.7113 0.0000
0.0000 0.0000 3.3609
Mg Zn Ni Ru
4 10 2 4
Direct
0.1668 0.3332 0.0000 Mg
0.3332 0.8332 0.0000 Mg
0.6668 0.1668 0.0000 Mg
0.8332 0.6668 0.0000 Mg
0.0000 0.5000 0.5000 Zn
0.0664 0.8183 0.5000 Zn
0.1817 0.0664 0.5000 Zn
0.3183 0.5664 0.5000 Zn
0.4336 0.3183 0.5000 Zn
0.5000 0.0000 0.5000 Zn
0.5664 0.6817 0.5000 Zn
0.6817 0.4336 0.5000 Zn
0.8183 0.9336 0.5000 Zn
0.9336 0.1817 0.5000 Zn
0.0000 0.0000 0.0000 Ni
0.5000 0.5000 0.0000 Ni
0.1347 0.6347 0.0000 Ru
0.3653 0.1347 0.0000 Ru
0.6347 0.8653 0.0000 Ru
0.8653 0.3653 0.0000 Ru



> What is the E_form in the second record?

-0.656 eV per formula unit



> Look up the calculated total energy of the second one.

-3.455 eV/atom



> Look up the calculated total energy of the second one.

-3.455 eV/atom